Cs5SbBr8 | GGA-PBE | relaxed

Unit cell a=9.1388 b=9.1388 c=9.1388 alpha=108.41 beta=110.01 gamma=110.01
Sites, in units of the cell vectors:
Cs  0.6169  0.6047  0.7369
Cs  0.1322  0.0122  0.3953
Cs  0.3831  0.1200  0.9878
Cs  0.0000  0.5000  0.5000
Cs  0.8678  0.2631  0.8800
Sb  0.5000  0.7500  0.2500
Br  0.3058  0.4327  0.2579
Br  0.8252  0.8730  0.5673
Br  0.7345  0.5492  0.1421
Br  0.5929  0.1853  0.4508
Br  0.4071  0.8579  0.5925
Br  0.1748  0.7421  0.0479
Br  0.6942  0.9521  0.1270
Br  0.2655  0.4075  0.8146

Output
- Raw formation energy: -1.384 eV per atom
- Spin magnetization: 0.000 μB/cell
- Calculated volume: 587.4 Å³/cell

Cs2SrPbBr6 | GGA-PBE | relaxed

Unit cell a=8.5097 b=8.5097 c=8.5100 alpha=60.00 beta=60.00 gamma=90.00
Sites, in units of the cell vectors:
Pb  0.0000  0.0000  0.0000
Cs  0.7500  0.2500  0.5000
Cs  0.2500  0.7500  0.5000
Br  0.2499  0.2499  0.5002
Br  0.7501  0.7501  0.4998
Br  0.2499  0.2499  0.0000
Br  0.7501  0.7501  0.0000
Br  0.7501  0.2499  0.0000
Br  0.2499  0.7501  0.0000
Sr  0.5000  0.5000  0.0000

Output
- Raw formation energy: -1.636 eV per atom
- Spin magnetization: 0.000 μB/cell
- Calculated volume: 435.8 Å³/cell

Ca2Y2Hg3 | GGA-PBE | relaxed

Unit cell a=5.2114 b=5.2045 c=9.2292 alpha=89.98 beta=106.40 gamma=120.01
Sites, in units of the cell vectors:
Ca  0.2542  0.1269  0.3815
Ca  0.7458  0.8731  0.6185
Y  0.7531  0.3763  0.1293
Y  0.2469  0.6237  0.8707
Hg  0.0000  0.0000  0.0000
Hg  0.5057  0.2530  0.7579
Hg  0.4943  0.7470  0.2421

Output
- Formation energy: -9.45 kcal/mol of atoms
- Spin magnetization: 0.000 μB/cell
- Calculated volume: 204.9 Å³/cell

Ti4Re2Mo | GGA-PBE | relaxed

Unit cell a=5.3661 b=5.3661 c=5.3661 alpha=110.28 beta=109.07 gamma=109.07
Sites, in units of the cell vectors:
Ti  0.5000  0.0000  0.0000
Ti  0.5000  0.5000  0.5000
Ti  0.0000  0.0000  0.5000
Ti  0.0000  0.5000  0.0000
Re  0.5000  0.5000  0.0000
Re  0.5000  0.0000  0.5000
Mo  0.0000  0.0000  0.0000

Output
- Formation energy: -0.50 kcal/mol of atoms
- Spin magnetization: 0.000 μB/cell
- Calculated volume: 118.9 Å³/cell